Entry 1:
HfMgSi2B, relaxed, DFT GGA-PBE; space group = No. 123; uncorrected energy = -19.48 eV for the cell shown; V = 109.0 Å³/cell; magnetic moment = 0.000 μB/f.u.
1.0
4.555 0.000 0.000
0.000 5.251 0.000
0.000 0.000 4.555
Si B Hf Mg
2 1 1 1
direct
0.000 0.000 0.500
0.500 0.000 0.000
0.500 0.500 0.500
0.000 0.500 0.000
0.000 0.000 0.000

Entry 2:
Hf2MgZrB, relaxed, DFT GGA-PBE; space group = No. 123; uncorrected energy = -37.46 eV for the cell shown; V = 101.2 Å³/cell; formation energy = -0.15 eV/atom; magnetic moment = 0.000 μB/f.u.
1.0
4.639 0.000 0.000
0.000 4.639 0.000
0.000 0.000 4.702
Mg B Hf Zr
1 1 2 1
direct
0.500 0.500 0.500
0.000 0.000 0.000
0.000 0.500 0.000
0.500 0.000 0.000
0.000 0.000 0.500

Entry 3:
HfMnB3, relaxed, DFT GGA-PBE; space group = No. 221; uncorrected energy = -30.66 eV for the cell shown; V = 80.7 Å³/cell; energy above the lowest structure with this stoichiometry = 1.5686 eV per atom; formation energy = 1.70 eV/atom; magnetic moment = 4.003 μB/f.u.
1.0
4.322 0.000 0.000
0.000 4.322 0.000
0.000 0.000 4.322
B Mn Hf
3 1 1
direct
0.000 0.500 0.000
0.000 0.000 0.500
0.500 0.000 0.000
0.500 0.500 0.500
0.000 0.000 0.000

Entry 4:
HfMnB2, relaxed, DFT GGA-PBE; space group = No. 166; uncorrected energy = -34.08 eV for the cell shown; V = 43.1 Å³/cell; energy above the lowest structure with this stoichiometry = 0.0000 eV per atom; formation energy = -0.40 eV/atom; magnetic moment = 0.000 μB/f.u.
1.0
3.428 0.000 0.000
1.714 2.969 0.000
1.714 0.990 4.237
B Mn Hf
2 1 1
direct
0.291 0.291 0.128
0.709 0.709 0.872
0.000 0.000 0.000
0.500 0.500 0.500

Entry 5:
HfMnB2, relaxed, DFT GGA-PBE; space group = No. 225; uncorrected energy = -32.16 eV for the cell shown; V = 42.0 Å³/cell; energy above the lowest structure with this stoichiometry = 0.4822 eV per atom; formation energy = 0.08 eV/atom; magnetic moment = 0.000 μB/f.u.
1.0
0.000 2.760 2.760
2.760 0.000 2.760
2.760 2.760 0.000
B Mn Hf
2 1 1
direct
0.250 0.250 0.250
0.750 0.750 0.750
0.000 0.000 0.000
0.500 0.500 0.500

Entry 6:
HfMnB2, relaxed, DFT GGA-PBE; space group = No. 141; uncorrected energy = -65.36 eV for the cell shown; V = 97.7 Å³/cell; energy above the lowest structure with this stoichiometry = 0.3515 eV per atom; formation energy = -0.05 eV/atom; magnetic moment = 0.617 μB/f.u.
1.0
-2.039 -2.650 -1.819
2.247 0.365 -3.051
4.177 -5.940 -0.009
B Mn Hf
4 2 2
direct
0.375 0.125 0.250
0.375 0.625 0.250
0.375 0.625 0.750
0.875 0.625 0.750
0.500 0.500 0.000
0.250 0.750 0.500
0.000 0.000 0.000
0.750 0.250 0.500

Entry 7:
HfMnB3, relaxed, DFT GGA-PBE; space group = No. 221; uncorrected energy = -38.50 eV for the cell shown; V = 52.8 Å³/cell; energy above the lowest structure with this stoichiometry = 0.0000 eV per atom; formation energy = 0.13 eV/atom; magnetic moment = 0.000 μB/f.u.
1.0
3.753 0.000 0.000
0.000 3.753 0.000
0.000 0.000 3.753
B Mn Hf
3 1 1
direct
0.000 0.500 0.000
0.000 0.000 0.500
0.500 0.000 0.000
0.000 0.000 0.000
0.500 0.500 0.500

Entry 8:
HfMn2B4, relaxed, DFT GGA-PBE; space group = No. 71; uncorrected energy = -59.33 eV for the cell shown; V = 64.4 Å³/cell; formation energy = -0.62 eV/atom; magnetic moment = 4.087 μB/f.u.
1.0
-0.690 1.426 2.617
-3.037 0.449 -1.045
0.121 -6.609 1.845
B Mn Hf
4 2 1
direct
0.647 0.647 0.293
0.353 0.353 0.707
0.074 0.574 0.148
0.926 0.426 0.852
0.812 0.812 0.624
0.188 0.188 0.376
0.500 0.000 0.000

Entry 9:
HfMn2B, relaxed, DFT GGA-PBE; space group = No. 122; uncorrected energy = -69.22 eV for the cell shown; V = 101.2 Å³/cell; formation energy = 0.09 eV/atom; magnetic moment = 0.002 μB/f.u.
1.0
6.599 0.000 0.000
0.000 6.599 0.000
3.299 3.299 2.325
B Mn Hf
2 4 2
direct
0.500 0.500 0.000
0.250 0.750 0.500
0.530 0.125 0.250
0.220 0.625 0.250
0.375 0.470 0.750
0.875 0.780 0.750
0.000 0.000 0.000
0.750 0.250 0.500

Entry 10:
HfMnB, relaxed, DFT GGA-PBE; space group = No. 71; uncorrected energy = -54.66 eV for the cell shown; V = 74.2 Å³/cell; formation energy = -0.51 eV/atom; magnetic moment = 0.891 μB/f.u.
1.0
3.163 0.000 0.000
0.000 5.091 0.000
-1.581 -2.545 4.606
Hf Mn B
2 2 2
direct
0.305 0.305 0.609
0.695 0.695 0.391
0.000 0.235 0.000
0.000 0.765 0.000
0.596 0.096 0.192
0.404 0.904 0.808

Entry 11:
HfMnB4, relaxed, DFT GGA-PBE; space group = No. 55; uncorrected energy = -200.03 eV for the cell shown; V = 209.5 Å³/cell; formation energy = -0.70 eV/atom; magnetic moment = 0.000 μB/f.u.
1.0
3.269 0.000 0.000
0.000 5.758 0.000
0.000 0.000 11.127
Hf Mn B
4 4 16
direct
0.000 0.628 0.351
0.000 0.372 0.649
0.000 0.128 0.149
0.000 0.872 0.851
0.000 0.633 0.089
0.000 0.367 0.911
0.000 0.133 0.411
0.000 0.867 0.589
0.500 0.789 0.186
0.500 0.211 0.814
0.500 0.289 0.314
0.500 0.711 0.686
0.500 0.866 0.032
0.500 0.134 0.968
0.500 0.366 0.468
0.500 0.634 0.532
0.500 0.886 0.452
0.500 0.114 0.548
0.500 0.386 0.048
0.500 0.614 0.952
0.500 0.977 0.306
0.500 0.023 0.694
0.500 0.477 0.194
0.500 0.523 0.806

Entry 12:
HfMn11B, relaxed, DFT GGA-PBE; space group = No. 12; uncorrected energy = -118.77 eV for the cell shown; V = 145.6 Å³/cell; formation energy = -0.10 eV/atom; magnetic moment = 0.895 μB/f.u.
1.0
-1.842 -4.044 0.267
0.039 -1.979 5.878
-5.956 0.325 0.958
Hf Mn B
1 11 1
direct
0.000 0.000 0.000
0.296 0.226 0.212
0.704 0.774 0.788
0.493 0.774 0.212
0.507 0.226 0.788
0.370 0.637 0.646
0.630 0.363 0.354
0.984 0.363 0.646
0.016 0.637 0.354
0.000 0.500 0.000
0.500 0.000 0.500
0.000 0.000 0.500
0.500 0.500 0.000

Entry 13:
HfMn2B2, relaxed, DFT GGA-PBE; space group = No. 127; uncorrected energy = -85.58 eV for the cell shown; V = 105.0 Å³/cell; formation energy = -0.23 eV/atom; magnetic moment = 0.531 μB/f.u.
1.0
6.022 0.000 0.000
0.000 6.022 0.000
0.000 0.000 2.894
B Mn Hf
4 4 2
direct
0.394 0.894 0.000
0.894 0.606 0.000
0.606 0.106 0.000
0.106 0.394 0.000
0.160 0.660 0.500
0.660 0.840 0.500
0.840 0.340 0.500
0.340 0.160 0.500
0.000 0.000 0.000
0.500 0.500 0.000